(1)
Density functional theory data (PBE) for a geometry-optimized Dy11Ho9Sc4 structure.

Unit cell a=3.5561 b=14.9348 c=14.9348 alpha=113.08 beta=90.00 gamma=90.00
With the nearest neighbours (Å) after each atom.
Sites, in units of the cell vectors:
Dy: 0.0000 0.5933 0.9540  2 Sc 3.28, 6 Ho 3.49-3.56, 3 Dy 3.56
Dy: 0.0000 0.4067 0.0460  2 Sc 3.28, 6 Ho 3.49-3.56, 3 Dy 3.56
Dy: 0.0000 0.9540 0.5933  2 Sc 3.28, 6 Ho 3.49-3.56, 3 Dy 3.56
Dy: 0.0000 0.0460 0.4067  2 Sc 3.28, 6 Ho 3.49-3.56, 3 Dy 3.56
Dy: 0.0000 0.6296 0.3704  4 Sc 3.20, 4 Ho 3.53, 2 Dy 3.56
Dy: 0.0000 0.3704 0.6296  4 Sc 3.20, 4 Ho 3.53, 2 Dy 3.56
Dy: 0.0000 0.8402 0.1598  5 Dy 3.56-3.98, 8 Ho 3.66-3.69
Dy: 0.0000 0.1598 0.8402  5 Dy 3.56-3.98, 8 Ho 3.66-3.69
Dy: 0.0000 0.0000 0.0000  8 Ho 3.48, 2 Dy 3.56
Dy: 0.0000 0.7025 0.7025  4 Sc 3.19, 2 Dy 3.56, 4 Ho 3.57
Dy: 0.0000 0.2975 0.2975  4 Sc 3.19, 2 Dy 3.56, 4 Ho 3.57
Ho: 0.5000 0.6284 0.1661  1 Sc 3.34, 3 Ho 3.38-3.56, 8 Dy 3.49-3.66
Ho: 0.5000 0.3716 0.8339  1 Sc 3.34, 3 Ho 3.38-3.56, 8 Dy 3.49-3.66
Ho: 0.5000 0.1661 0.6284  1 Sc 3.34, 3 Ho 3.38-3.56, 8 Dy 3.49-3.66
Ho: 0.5000 0.8339 0.3716  1 Sc 3.34, 3 Ho 3.38-3.56, 8 Dy 3.49-3.66
Ho: 0.5000 0.7829 0.9274  1 Sc 3.36, 8 Dy 3.48-3.69, 3 Ho 3.56-3.60
Ho: 0.5000 0.2171 0.0726  1 Sc 3.36, 8 Dy 3.48-3.69, 3 Ho 3.56-3.60
Ho: 0.5000 0.9274 0.7829  1 Sc 3.36, 8 Dy 3.48-3.69, 3 Ho 3.56-3.60
Ho: 0.5000 0.0726 0.2171  1 Sc 3.36, 8 Dy 3.48-3.69, 3 Ho 3.56-3.60
Ho: 0.5000 0.5000 0.5000  2 Ho 3.56, 4 Sc 3.61, 8 Dy 3.69-3.78
Sc: 0.5000 0.5544 0.7578  6 Dy 3.19-3.28, 2 Ho 3.34-3.36, 2 Sc 3.56
Sc: 0.5000 0.4456 0.2422  6 Dy 3.19-3.28, 2 Ho 3.34-3.36, 2 Sc 3.56
Sc: 0.5000 0.7578 0.5544  6 Dy 3.19-3.28, 2 Ho 3.34-3.36, 2 Sc 3.56
Sc: 0.5000 0.2422 0.4456  6 Dy 3.19-3.28, 2 Ho 3.34-3.36, 2 Sc 3.56

Summary:
Space-group type: No. 65
ΔE_f, eV/atom: 0.0442

---

(2)
Density functional theory data (PBE) for a geometry-optimized As2P structure.

Unit cell a=7.1987 b=7.1987 c=7.9387 alpha=60.00 beta=60.00 gamma=28.49
With the nearest neighbours (Å) after each atom.
Sites, in units of the cell vectors:
As: 0.9591 0.9591 0.1360  2 P 2.39, 1 As 2.52
As: 0.7041 0.7041 0.7688  1 P 2.38, 2 As 2.50
As: 0.3514 0.3514 0.6200  1 P 2.38, 2 As 2.50
As: 0.0964 0.0964 0.2529  2 P 2.39, 1 As 2.52
P: 0.3382 0.3382 0.3325  3 As 2.38-2.39
P: 0.7174 0.7174 0.0563  3 As 2.38-2.39

Summary:
Space-group type: No. 12
ΔE_f, eV/atom: 0.0588
Energy relative to the lowest polymorph listed for this composition, meV per atom: 0

---

(3)
Density functional theory data (PBE) for a geometry-optimized Mg2TaSb structure.

Unit cell a=4.3532 b=4.2822 c=4.2822 alpha=90.00 beta=90.00 gamma=90.00
With the nearest neighbours (Å) after each atom.
Sites, in units of the cell vectors:
Mg: 0.0000 0.0000 0.0000  4 Mg 3.03, 4 Ta 3.05, 4 Sb 3.05
Mg: 0.0000 0.5000 0.5000  4 Mg 3.03, 4 Ta 3.05, 4 Sb 3.05
Sb: 0.5000 0.5000 0.0000  4 Ta 3.03, 8 Mg 3.05
Ta: 0.5000 0.0000 0.5000  4 Sb 3.03, 8 Mg 3.05

Summary:
Raw formation energy, eV/f.u.: 0.88
Space-group type: No. 123